No. 1
Density functional theory data (PBEsol) for a geometry-optimized Na2TeO4 structure.

## Properties
space group: Pbcn, No. 60

Cell and atoms, written as extended XYZ:
```
28
Lattice="5.777 0.000 0.000 0.000 12.188 0.000 0.000 0.000 5.235" Properties=species:S:1:pos:R:3 pbc="T T T"
Na 0.000 1.713 1.309
Na 0.000 3.351 3.926
Na 0.000 8.837 1.309
Na 0.000 10.475 3.926
Na 2.888 2.743 1.309
Na 2.888 4.381 3.926
Na 2.888 7.807 1.309
Na 2.888 9.445 3.926
Te 0.000 5.219 1.309
Te 0.000 6.969 3.926
Te 2.888 0.875 3.926
Te 2.888 11.313 1.309
O 1.039 5.478 2.994
O 1.039 6.710 0.377
O 1.170 3.962 0.584
O 1.170 8.226 3.201
O 1.718 2.132 3.201
O 1.718 10.057 0.584
O 1.849 0.616 0.377
O 1.849 11.572 2.994
O 3.927 0.616 2.241
O 3.927 11.572 4.858
O 4.058 2.132 4.651
O 4.058 10.057 2.034
O 4.607 3.962 2.034
O 4.607 8.226 4.651
O 4.737 5.478 4.858
O 4.737 6.710 2.241
```

No. 2
Density functional theory data (PBEsol) for a geometry-optimized Na4TeO5 structure.

## Properties
space group: P-1, No. 2

Cell and atoms, written as extended XYZ:
```
20
Lattice="5.704 0.000 0.000 -1.245 5.597 0.000 -1.699 -3.195 7.721" Properties=species:S:1:pos:R:3 pbc="T T T"
Na 0.000 0.000 0.000
Na -0.967 -1.097 5.380
Na -0.016 0.943 3.096
Na 0.747 2.945 0.768
Na 2.002 -1.598 3.860
Na 2.012 -0.544 6.952
Na 2.775 1.459 4.624
Na 3.726 3.499 2.341
Te -0.098 1.951 6.154
Te 2.857 0.451 1.567
O -1.631 0.831 6.532
O -0.971 2.704 4.616
O 1.310 -0.675 1.850
O 0.372 -2.204 7.425
O 0.773 0.479 5.301
O 1.986 1.923 2.419
O 2.388 4.606 0.295
O 1.449 3.076 5.871
O 3.730 -0.303 3.105
O 4.390 1.571 1.188
```

No. 3
Density functional theory data (PBEsol) for a geometry-optimized Na2TeO structure.

## Properties
space group: I-42d, No. 122

Cell and atoms, written as extended XYZ:
```
8
Lattice="-4.391 4.391 2.301 4.391 -4.391 2.301 4.391 4.391 -2.301" Properties=species:S:1:pos:R:3 pbc="T T T"
Na -0.796 2.196 0.575
Na 2.196 3.595 1.726
Na 0.796 6.587 0.575
Na -2.196 5.187 1.726
Te 4.391 0.000 1.150
Te 0.000 0.000 2.301
O 0.000 0.000 0.000
O 0.000 4.391 1.150
```

No. 4
Density functional theory data (PBEsol) for a geometry-optimized Na2Te4O9 structure.

## Properties
space group: P-1, No. 2

Cell and atoms, written as extended XYZ:
```
30
Lattice="6.880 0.000 0.000 2.648 6.797 0.000 2.612 2.881 9.753" Properties=species:S:1:pos:R:3 pbc="T T T"
Na 2.050 3.022 4.765
Na 6.770 7.553 3.555
Na 5.370 2.125 6.198
Na 10.090 6.656 4.988
Te 0.856 1.257 1.930
Te 3.238 4.651 7.746
Te 5.456 4.338 3.185
Te 8.050 8.230 9.615
Te 4.090 1.447 0.138
Te 6.684 5.339 6.568
Te 8.901 5.026 2.007
Te 11.283 8.420 7.823
O 1.855 1.030 3.467
O 3.327 2.950 6.886
O 3.324 4.346 3.240
O 3.782 6.332 1.054
O 2.405 2.138 0.942
O 4.572 5.483 6.581
O 5.623 3.344 8.614
O 6.743 7.023 5.831
O 6.738 5.811 8.447
O 5.402 3.867 1.306
O 5.397 2.654 3.922
O 6.516 6.334 1.139
O 7.568 4.194 3.172
O 9.735 7.539 8.811
O 8.358 3.346 8.699
O 8.815 5.332 6.512
O 8.813 6.728 2.867
O 10.285 8.647 6.286
```

No. 5
Density functional theory data (PBEsol) for a geometry-optimized Na2TeO4 structure.

## Properties
space group: P2_1/c, No. 14

Cell and atoms, written as extended XYZ:
```
56
Lattice="10.644 0.000 0.000 0.000 5.199 0.000 -3.212 0.000 13.499" Properties=species:S:1:pos:R:3 pbc="T T T"
Na -0.139 0.535 2.518
Na -1.745 2.064 9.268
Na -0.336 3.874 7.194
Na 1.271 3.925 0.445
Na 3.142 1.238 2.654
Na 1.536 1.362 9.404
Na 4.261 3.897 1.379
Na 2.655 3.902 8.129
Na 4.777 1.297 5.371
Na 3.171 1.302 12.120
Na 5.896 3.837 4.096
Na 4.290 3.962 10.845
Na 6.161 1.274 13.055
Na 7.768 1.326 6.305
Na 9.177 3.135 4.232
Na 7.571 4.664 10.981
Te 1.023 1.164 5.701
Te -0.584 1.435 12.451
Te 2.086 3.766 4.270
Te 0.480 4.033 11.019
Te 6.952 1.167 2.480
Te 5.346 1.433 9.230
Te 8.016 3.764 1.048
Te 6.409 4.035 7.798
O -2.300 0.777 12.720
O -0.693 1.823 5.971
O -1.276 3.107 11.551
O 0.330 4.692 4.802
O -0.568 0.496 10.615
O 1.038 2.104 3.865
O 0.290 3.312 9.308
O 1.896 4.486 2.558
O 1.226 0.425 7.386
O 2.832 2.175 0.636
O 1.986 2.855 6.098
O 0.380 4.943 12.848
O 2.733 0.256 5.091
O 1.127 2.343 11.841
O 3.767 3.031 3.985
O 2.161 4.767 10.735
O 5.271 0.432 2.765
O 3.665 2.168 9.514
O 6.305 2.856 1.658
O 4.699 4.943 8.408
O 7.052 0.256 0.652
O 5.446 2.344 7.401
O 4.600 3.024 12.863
O 6.206 4.774 6.114
O 5.536 0.713 10.941
O 7.142 1.887 4.192
O 6.394 3.095 9.634
O 8.000 4.703 2.884
O 7.102 0.507 8.698
O 8.708 2.092 1.948
O 8.126 3.376 7.529
O 9.732 4.422 0.779
```

No. 6
Density functional theory data (PBEsol) for a geometry-optimized NaTeO2 structure.

## Properties
space group: I-42d, No. 122

Cell and atoms, written as extended XYZ:
```
8
Lattice="-2.423 2.423 5.934 2.423 -2.423 5.934 2.423 2.423 -5.934" Properties=species:S:1:pos:R:3 pbc="T T T"
Na 0.000 0.000 0.000
Na 0.000 2.423 2.967
Te 2.423 0.000 2.967
Te 0.000 0.000 5.934
O 1.211 -0.995 4.450
O 1.428 1.211 1.483
O 1.211 3.417 -1.483
O 0.995 1.211 7.417
```

No. 7
Density functional theory data (PBEsol) for a geometry-optimized Na2UTeO7 structure.

## Properties
space group: Ama2, No. 40

Cell and atoms, written as extended XYZ:
```
22
Lattice="7.552 0.000 0.000 0.000 5.185 3.793 0.000 -5.185 3.793" Properties=species:S:1:pos:R:3 pbc="T T T"
Na 0.000 0.000 0.000
Na 1.888 2.390 5.578
Na 3.776 0.000 0.000
Na 5.664 -2.390 5.578
U 1.888 2.465 1.874
U 5.664 -2.465 1.874
Te 0.000 0.000 3.621
Te 3.776 0.000 3.621
O 0.111 -1.357 2.283
O 0.375 -1.263 5.005
O 1.888 -3.660 4.038
O 1.888 0.574 3.552
O 1.888 3.417 3.477
O 3.401 -1.263 5.005
O 3.665 -1.357 2.283
O 3.887 1.357 2.283
O 4.151 1.263 5.005
O 5.664 -3.417 3.477
O 5.664 -0.574 3.552
O 5.664 3.660 4.038
O 7.177 1.263 5.005
O 7.441 1.357 2.283
```

No. 8
Density functional theory data (PBEsol) for a geometry-optimized Na2Te4WO12 structure.

## Properties
space group: C2/c, No. 15

Cell and atoms, written as extended XYZ:
```
38
Lattice="8.680 -2.840 0.000 8.680 2.840 0.000 -3.032 0.000 10.742" Properties=species:S:1:pos:R:3 pbc="T T T"
Na 2.755 1.508 7.811
Na 10.057 1.508 8.302
Na 4.271 -1.508 2.440
Na 11.573 -1.508 2.931
Te 5.844 1.635 4.348
Te 5.791 1.050 0.659
Te 10.001 1.635 1.023
Te 10.053 1.050 4.712
Te 4.275 -1.050 6.031
Te 4.327 -1.635 9.719
Te 8.537 -1.050 10.083
Te 8.485 -1.635 6.395
W 6.406 0.955 8.057
W 7.922 -0.955 2.686
O 0.462 0.827 8.130
O 5.689 2.103 9.242
O 7.123 2.103 6.872
O 3.986 0.406 0.734
O 4.771 0.619 7.094
O 1.979 -0.827 2.759
O 2.470 -0.406 6.106
O 4.622 0.059 4.358
O 3.106 -0.059 9.729
O 7.388 0.656 3.939
O 8.457 0.656 1.433
O 6.287 -0.619 1.723
O 8.041 0.619 9.019
O 5.872 -0.656 9.310
O 6.940 -0.656 6.804
O 11.222 0.059 1.013
O 9.706 -0.059 6.385
O 11.858 0.406 4.637
O 12.349 0.827 7.983
O 9.557 -0.619 3.648
O 10.342 -0.406 10.008
O 7.205 -2.103 3.871
O 8.639 -2.103 1.501
O 13.866 -0.827 2.612
```

No. 9
Density functional theory data (PBEsol) for a geometry-optimized Na4Ti7O16 structure.

## Properties
space group: P2/m, No. 10

Cell and atoms, written as extended XYZ:
```
27
Lattice="6.096 0.000 0.000 0.000 6.007 0.000 -0.684 0.000 8.981" Properties=species:S:1:pos:R:3 pbc="T T T"
Na 1.238 0.000 1.057
Na 1.222 3.003 3.346
Na 4.191 3.003 5.634
Na 4.174 0.000 7.923
Ti -0.342 0.000 4.490
Ti 1.139 1.531 6.753
Ti 1.139 4.476 6.753
Ti 2.706 0.000 4.490
Ti 3.048 3.003 0.000
Ti 4.273 1.531 2.228
Ti 4.273 4.476 2.228
O -0.154 0.000 6.480
O 0.066 3.003 6.409
O 1.187 1.249 4.593
O 1.187 4.758 4.593
O 1.072 1.598 8.558
O 1.072 4.409 8.558
O 2.490 0.000 6.456
O 2.513 3.003 6.987
O 2.899 3.003 1.994
O 2.922 0.000 2.525
O 4.340 1.598 0.423
O 4.340 4.409 0.423
O 4.226 1.249 4.388
O 4.226 4.758 4.388
O 5.346 3.003 2.572
O 5.567 0.000 2.501
```

No. 10
Density functional theory data (PBEsol) for a geometry-optimized Na6Ti2O7 structure.

## Properties
space group: C2/c, No. 15

Cell and atoms, written as extended XYZ:
```
30
Lattice="4.110 -4.293 0.000 4.110 4.293 0.000 -3.170 0.000 11.729" Properties=species:S:1:pos:R:3 pbc="T T T"
Na 0.000 0.000 0.000
Na -1.585 0.000 5.864
Na -0.680 1.916 10.191
Na 1.732 3.778 8.797
Na 2.025 1.256 4.845
Na 4.610 1.256 1.019
Na 0.905 -1.916 4.327
Na 4.145 1.916 7.402
Na 0.440 -1.256 10.709
Na 3.025 -1.256 6.884
Na 3.317 -3.778 2.932
Na 5.730 -1.916 1.538
Ti 0.834 0.700 7.491
Ti 2.419 -0.700 1.627
Ti 2.631 0.700 10.102
Ti 4.216 -0.700 4.238
O -0.865 1.032 8.002
O 1.772 2.192 7.086
O 2.382 0.440 0.225
O 0.720 -1.032 2.138
O 1.693 2.192 10.507
O 0.797 -0.440 6.089
O 3.317 0.323 2.932
O 1.732 -0.323 8.797
O 4.253 0.440 5.640
O 3.357 -2.192 1.221
O 4.330 1.032 9.591
O 2.668 -0.440 11.504
O 3.278 -2.192 4.643
O 5.915 -1.032 3.727
```

No. 11
Density functional theory data (PBEsol) for a geometry-optimized Na7Ti13O26 structure.

## Properties
space group: P-1, No. 2

Cell and atoms, written as extended XYZ:
```
46
Lattice="5.067 0.000 0.000 1.637 10.461 0.000 0.742 4.773 10.250" Properties=species:S:1:pos:R:3 pbc="T T T"
Na 0.000 0.000 0.000
Na 1.670 7.972 1.582
Na 1.742 5.514 3.154
Na 1.650 3.025 4.727
Na 5.795 12.209 5.522
Na 5.703 9.721 7.096
Na 5.775 7.263 8.668
Ti 0.818 5.230 0.000
Ti 0.812 2.726 1.623
Ti 2.481 10.757 3.169
Ti 2.469 8.324 4.846
Ti 2.480 5.737 6.412
Ti 4.097 13.744 7.913
Ti 4.095 11.284 9.437
Ti 3.350 3.951 0.813
Ti 3.348 1.490 2.337
Ti 4.965 9.497 3.838
Ti 4.977 6.910 5.404
Ti 4.964 4.478 7.081
Ti 6.633 12.508 8.627
O 0.826 5.164 5.370
O 2.401 13.142 6.917
O 1.540 7.575 6.427
O 2.403 10.679 8.588
O 1.563 5.124 8.043
O 2.396 8.215 10.176
O 3.217 13.065 9.623
O 1.630 0.939 1.463
O 2.475 5.805 0.900
O 3.258 8.911 3.100
O 2.489 3.354 2.514
O 3.263 6.469 4.671
O 4.169 11.326 4.093
O 3.276 3.908 6.156
O 4.183 8.765 5.579
O 4.956 11.881 7.735
O 4.187 6.323 7.150
O 4.970 9.430 9.349
O 5.815 14.295 8.787
O 4.228 2.170 0.627
O 5.049 7.019 0.073
O 5.882 10.110 2.207
O 5.042 4.555 1.662
O 5.905 7.659 3.823
O 5.044 2.093 3.332
O 6.619 10.070 4.880
```

No. 12
Density functional theory data (PBEsol) for a geometry-optimized Na2Ti12O25 structure.

## Properties
space group: P2/m, No. 10

Cell and atoms, written as extended XYZ:
```
39
Lattice="9.281 0.000 0.000 0.000 3.730 0.000 -4.001 0.000 13.883" Properties=species:S:1:pos:R:3 pbc="T T T"
Na 0.143 0.000 6.382
Na 5.137 0.000 7.501
Ti -0.094 1.865 3.599
Ti 0.869 0.000 1.305
Ti -1.722 0.000 11.842
Ti -0.966 1.865 9.374
Ti 1.167 0.000 11.030
Ti 2.061 1.865 8.673
Ti 3.219 1.865 5.210
Ti 4.113 0.000 2.852
Ti 6.247 1.865 4.509
Ti 7.002 0.000 2.040
Ti 4.411 0.000 12.578
Ti 5.374 1.865 10.283
O -1.289 1.865 5.093
O -0.296 0.000 3.095
O -2.847 0.000 13.345
O 0.642 1.865 1.703
O -1.929 1.865 11.331
O -0.837 0.000 9.935
O 0.140 1.865 7.962
O 1.396 1.865 4.558
O 2.577 0.000 1.953
O -0.053 0.000 12.437
O 0.940 1.865 10.504
O 1.919 0.000 9.104
O 2.640 1.865 6.941
O 3.362 0.000 4.779
O 4.340 1.865 3.379
O 5.333 0.000 1.446
O 2.704 0.000 11.930
O 3.884 1.865 9.325
O 5.140 1.865 5.920
O 6.117 0.000 3.948
O 7.209 1.865 2.551
O 4.638 1.865 12.180
O 8.128 0.000 0.537
O 5.576 0.000 10.787
O 6.569 1.865 8.789
```

Formation energy from raw total energies
In order: -1.4360; -1.5554; -0.7926; -1.2431; -1.4376; -0.8510; -2.0791; -1.4606; -2.7512; -2.2056; -2.7318; -2.9638
Unit: eV/atom